A plane-wave DFT calculation with PBE was carried out for Sm2Y6Er3Zr after structural relaxation.

Computed properties:
D(E_F) in states/eV/f.u.: 16.240
ΔE_f in eV/atom: 0.0553

The structure in POSCAR format:
```
Sm2Y6Er3Zr
1.0
3.0580 -5.2883 0.0000
3.0580 5.2883 0.0000
-2.0237 0.0000 11.5126
Sm Y Er Zr
2 6 3 1
Direct
0.1668 0.8332 0.0000
0.8332 0.1668 0.0000
0.0906 0.4175 0.7527
0.2558 0.2558 0.2469
0.4175 0.0906 0.7527
0.5825 0.9094 0.2473
0.7442 0.7442 0.7531
0.9094 0.5825 0.2473
0.0000 0.0000 0.5000
0.3335 0.6665 0.5000
0.6665 0.3335 0.5000
0.5000 0.5000 0.0000
```

***

A plane-wave DFT calculation with PBE was carried out for Sm3Y6Er2Zr after structural relaxation.

Computed properties:
D(E_F) in states/eV/f.u.: 16.089
ΔE_f in eV/atom: 0.0473

The structure in POSCAR format:
```
Sm3Y6Er2Zr
1.0
3.0687 -5.3077 0.0000
3.0687 5.3077 0.0000
-2.0329 0.0000 11.5243
Sm Y Er Zr
3 6 2 1
Direct
0.0000 0.0000 0.0000
0.3337 0.6663 0.0000
0.6663 0.3337 0.0000
0.0924 0.4194 0.2578
0.2540 0.2540 0.7418
0.4194 0.0924 0.2578
0.5806 0.9076 0.7422
0.7460 0.7460 0.2582
0.9076 0.5806 0.7422
0.1669 0.8331 0.5000
0.8331 0.1669 0.5000
0.5000 0.5000 0.5000
```

***

A plane-wave DFT calculation with PBE was carried out for Sm3Er2Zn3 after structural relaxation.

Computed properties:
D(E_F) in states/eV/f.u.: 9.829
ΔE_f in eV/atom: -0.2390

The structure in POSCAR format:
```
Sm3Er2Zn3
1.0
-1.8175 2.6285 10.7648
1.8175 -2.6285 10.7648
1.8175 2.6285 -10.7648
Sm Er Zn
3 2 3
Direct
0.0000 0.0000 0.0000
0.3805 0.8805 0.5000
0.6195 0.1195 0.5000
0.2300 0.2300 0.0000
0.7700 0.7700 0.0000
0.1186 0.6186 0.5000
0.5000 0.5000 0.0000
0.8814 0.3814 0.5000
```

***

A plane-wave DFT calculation with PBE was carried out for Sm2Er2Zn3 after structural relaxation.

Computed properties:
D(E_F) in states/eV/f.u.: 9.148
ΔE_f in eV/atom: -0.1988

The structure in POSCAR format:
```
Sm2Er2Zn3
1.0
2.5011 1.4440 8.2190
-2.5011 1.4440 8.2190
0.0000 -2.8880 8.2190
Sm Er Zn
2 2 3
Direct
0.1262 0.1262 0.1262
0.8738 0.8738 0.8738
0.3761 0.3761 0.3761
0.6239 0.6239 0.6239
0.0000 0.0000 0.0000
0.2543 0.2543 0.2543
0.7457 0.7457 0.7457
```

***

A plane-wave DFT calculation with PBE was carried out for SmEr2Zn after structural relaxation.

Computed properties:
D(E_F) in states/eV/f.u.: 4.449
ΔE_f in eV/atom: -0.1657

The structure in POSCAR format:
```
SmEr2Zn
1.0
3.5508 0.0000 0.0000
0.0000 3.5508 0.0000
0.0000 0.0000 8.6504
Sm Er Zn
1 2 1
Direct
0.0000 0.0000 0.0000
0.5000 0.5000 0.2971
0.5000 0.5000 0.7029
0.0000 0.0000 0.5000
```

***

A plane-wave DFT calculation with PBE was carried out for SmErZn4 after structural relaxation.

Computed properties:
D(E_F) in states/eV/f.u.: 5.297
ΔE_f in eV/atom: -0.3637

The structure in POSCAR format:
```
SmErZn4
1.0
-2.2481 3.5385 3.8826
2.2481 -3.5385 3.8826
2.2481 3.5385 -3.8826
Sm Er Zn
1 1 4
Direct
0.0000 0.0000 0.0000
0.5000 0.0000 0.5000
0.0873 0.3336 0.7537
0.4200 0.6664 0.7537
0.5800 0.3336 0.2463
0.9127 0.6664 0.2463
```

***

A plane-wave DFT calculation with PBE was carried out for Sm2Er2Zn after structural relaxation.

Computed properties:
D(E_F) in states/eV/f.u.: 5.947
ΔE_f in eV/atom: -0.1285

The structure in POSCAR format:
```
Sm2Er2Zn
1.0
-1.7781 1.7781 11.2668
1.7781 -1.7781 11.2668
1.7781 1.7781 -11.2668
Sm Er Zn
2 2 1
Direct
0.1922 0.1922 0.0000
0.8078 0.8078 0.0000
0.4228 0.4228 0.0000
0.5772 0.5772 0.0000
0.0000 0.0000 0.0000
```

***

A plane-wave DFT calculation with PBE was carried out for Sm3ErZn after structural relaxation.

Computed properties:
D(E_F) in states/eV/f.u.: 7.960
ΔE_f in eV/atom: 0.0648

The structure in POSCAR format:
```
Sm3ErZn
1.0
5.9481 -4.4221 0.0000
5.9481 4.4221 0.0000
-5.0804 0.0000 6.0172
Sm Er Zn
6 2 2
Direct
0.0513 0.0513 0.3208
0.0905 0.4760 0.2535
0.4760 0.0905 0.2535
0.5240 0.9095 0.7465
0.9095 0.5240 0.7465
0.9487 0.9487 0.6792
0.4315 0.4315 0.7330
0.5685 0.5685 0.2670
0.2619 0.2619 0.8939
0.7381 0.7381 0.1061
```